(1)
Entry from the Alexandria database: a relaxed structure of EuYSn2 (PBE-GGA).

Lattice parameters (Å, degrees): 3.5249 3.5249 9.0230 90.00 90.00 90.00
Last column: magnetic moment on the atom in μB.
Fractional coordinates of all 4 atoms:
Sn: 0.0000 0.0000 0.7402  -0.02
Sn: 0.0000 0.0000 0.2598  -0.02
Eu: 0.5000 0.5000 0.0000  6.86
Y: 0.5000 0.5000 0.5000  -0.03

SG: P4/mmm, No. 123
Total DFT energy (no corrections): -6.8492 eV per atom
N(E_F): 0.535 states/eV per atom

=====

(2)
Entry from the Alexandria database: a relaxed structure of EuY2Sn (PBE-GGA).

Lattice parameters (Å, degrees): 3.5735 3.5735 12.3875 81.71 81.71 60.00
Last column: magnetic moment on the atom in μB.
Fractional coordinates of all 4 atoms:
Eu: 0.5000 0.5000 0.5000  6.99
Y: 0.9156 0.9156 0.2532  0.01
Y: 0.0844 0.0844 0.7468  0.01
Sn: 0.0000 0.0000 0.0000  -0.03

SG: R-3m, No. 166
Relative energy among the computed polymorphs: 47.2 kJ per mole of atoms
N(E_F): 1.244 states/eV per atom

=====

(3)
Entry from the Alexandria database: a relaxed structure of EuYSn2 (PBE-GGA).

Lattice parameters (Å, degrees): 4.4733 4.9948 4.9948 90.00 90.00 90.00
Last column: magnetic moment on the atom in μB.
Fractional coordinates of all 4 atoms:
Eu: 0.5000 0.5000 0.5000  6.84
Sn: 0.0000 0.0000 0.5000  -0.02
Sn: 0.0000 0.5000 0.0000  -0.02
Y: 0.5000 0.0000 0.0000  0.15

SG: P4/mmm, No. 123
Total DFT energy (no corrections): -6.8088 eV per atom
N(E_F): 0.591 states/eV per atom

=====

(4)
Entry from the Alexandria database: a relaxed structure of EuYZnSn (PBE-GGA).

Lattice parameters (Å, degrees): 5.3138 5.3138 5.3138 60.00 60.00 60.00
Last column: magnetic moment on the atom in μB.
Fractional coordinates of all 4 atoms:
Sn: 0.5000 0.5000 0.5000  0.04
Zn: 0.0000 0.0000 0.0000  -0.03
Y: 0.7500 0.7500 0.7500  -0.16
Eu: 0.2500 0.2500 0.2500  -6.85

SG: F-43m, No. 216
Total DFT energy (no corrections): -5.9968 eV per atom
N(E_F): 0.694 states/eV per atom

=====

(5)
Entry from the Alexandria database: a relaxed structure of EuZnSn (PBE-GGA).

Lattice parameters (Å, degrees): 4.2736 4.6267 4.6267 120.00 90.00 90.00
Last column: magnetic moment on the atom in μB.
Fractional coordinates of all 3 atoms:
Eu: 0.6668 0.6667 0.3333  6.86
Sn: 0.1672 0.3333 0.6667  -0.03
Zn: 0.1659 0.0000 0.0000  0.03

SG: P-6m2, No. 187
Total DFT energy (no corrections): -5.6767 eV per atom
N(E_F): 3.429 states/eV per atom

=====

(6)
Entry from the Alexandria database: a relaxed structure of EuZnSn2 (PBE-GGA).

Lattice parameters (Å, degrees): 4.6695 4.6695 6.2596 68.10 68.10 60.00
Last column: magnetic moment on the atom in μB.
Fractional coordinates of all 4 atoms:
Zn: 0.0000 0.0000 0.0000  -0.01
Sn: 0.7220 0.7220 0.8340  0.00
Sn: 0.2780 0.2780 0.1660  0.00
Eu: 0.5000 0.5000 0.5000  6.83

SG: R-3m, No. 166
Total DFT energy (no corrections): -5.1713 eV per atom
N(E_F): 0.475 states/eV per atom

=====

(7)
Entry from the Alexandria database: a relaxed structure of EuZn4Sn (PBE-GGA).

Lattice parameters (Å, degrees): 5.5786 5.5786 5.5786 60.00 60.00 60.00
Last column: magnetic moment on the atom in μB.
Fractional coordinates of all 6 atoms:
Zn: 0.6252 0.6252 0.6252  0.02
Zn: 0.6252 0.1243 0.6252  0.02
Zn: 0.6252 0.6252 0.1243  0.02
Zn: 0.1243 0.6252 0.6252  0.02
Sn: 0.0000 0.0000 0.0000  0.02
Eu: 0.2500 0.2500 0.2500  6.85

SG: F-43m, No. 216
Total DFT energy (no corrections): -3.3839 eV per atom
N(E_F): 1.394 states/eV per atom

=====

(8)
Entry from the Alexandria database: a relaxed structure of Eu2ZnSn (PBE-GGA).

Lattice parameters (Å, degrees): 3.8618 5.4774 5.4774 90.00 90.00 90.00
Last column: magnetic moment on the atom in μB.
Fractional coordinates of all 4 atoms:
Eu: 0.0000 0.5000 0.0000  6.85
Eu: 0.0000 0.0000 0.5000  6.85
Zn: 0.5000 0.5000 0.5000  0.01
Sn: 0.5000 0.0000 0.0000  -0.04

SG: P4/mmm, No. 123
Relative energy among the computed polymorphs: 4.4 kJ per mole of atoms
N(E_F): 3.059 states/eV per atom

=====

(9)
Entry from the Alexandria database: a relaxed structure of EuZn2Sn2 (PBE-GGA).

Lattice parameters (Å, degrees): 4.5469 4.6892 11.3422 89.04 90.00 90.00
Last column: magnetic moment on the atom in μB.
Fractional coordinates of all 10 atoms:
Eu: 0.2500 0.7248 0.7528  -6.87
Eu: 0.7500 0.2752 0.2472  -6.87
Sn: 0.7500 0.7537 0.5031  0.02
Sn: 0.2500 0.8011 0.1301  0.03
Sn: 0.7500 0.1989 0.8699  0.03
Sn: 0.2500 0.2463 0.4969  0.02
Zn: 0.2500 0.7488 0.3600  0.01
Zn: 0.7500 0.6985 0.9981  0.01
Zn: 0.7500 0.2512 0.6400  0.01
Zn: 0.2500 0.3015 0.0019  0.01

SG: P2_1/m, No. 11
Total DFT energy (no corrections): -4.5203 eV per atom
N(E_F): 1.778 states/eV per atom

=====

(10)
Entry from the Alexandria database: a relaxed structure of EuZnSn2 (PBE-GGA).

Lattice parameters (Å, degrees): 4.5769 4.6504 4.6504 90.00 90.00 90.00
Last column: magnetic moment on the atom in μB.
Fractional coordinates of all 4 atoms:
Eu: 0.5000 0.5000 0.5000  6.74
Zn: 0.5000 0.0000 0.0000  0.00
Sn: 0.0000 0.5000 0.0000  -0.01
Sn: 0.0000 0.0000 0.5000  -0.01

SG: P4/mmm, No. 123
Total DFT energy (no corrections): -5.2802 eV per atom
N(E_F): 0.336 states/eV per atom

=====

(11)
Entry from the Alexandria database: a relaxed structure of EuZnSn (PBE-GGA).

Lattice parameters (Å, degrees): 4.8226 4.8226 4.8226 60.00 60.00 60.00
Last column: magnetic moment on the atom in μB.
Fractional coordinates of all 3 atoms:
Sn: 0.0000 0.0000 0.0000  -0.03
Eu: 0.5000 0.5000 0.5000  6.79
Zn: 0.2500 0.2500 0.2500  0.00

SG: F-43m, No. 216
Total DFT energy (no corrections): -5.6602 eV per atom
N(E_F): 3.458 states/eV per atom

=====

(12)
Entry from the Alexandria database: a relaxed structure of EuZnSn (PBE-GGA).

Lattice parameters (Å, degrees): 3.5802 3.5802 6.4794 106.04 106.04 90.00
Last column: magnetic moment on the atom in μB.
Fractional coordinates of all 3 atoms:
Zn: 0.6285 0.6285 0.2570  -0.01
Eu: 0.9591 0.9591 0.9181  6.85
Sn: 0.2624 0.2624 0.5248  -0.01

SG: I4mm, No. 107
Total DFT energy (no corrections): -5.5007 eV per atom
N(E_F): 1.439 states/eV per atom